Entry 1:
# Li9V3P8O29 (GGA-PBEsol, relaxed)
data_Li9V3P8O29
_chemical_formula_sum 'Li18 V6 P16 O58'
_cell_length_a 9.741
_cell_length_b 9.741
_cell_length_c 13.562
_cell_angle_alpha 90.00
_cell_angle_beta 90.00
_cell_angle_gamma 120.00
_symmetry_space_group_name_H-M 'P 1'
_symmetry_Int_Tables_number 1
loop_
_symmetry_equiv_pos_as_xyz
'x,y,z'
loop_
_atom_site_label
_atom_site_type_symbol
_atom_site_fract_x
_atom_site_fract_y
_atom_site_fract_z
Li1 Li 0.000 0.000 0.000
Li2 Li 0.000 0.000 0.500
Li3 Li 0.333 0.667 0.121
Li4 Li 0.333 0.667 0.621
Li5 Li 0.667 0.333 0.879
Li6 Li 0.667 0.333 0.379
Li7 Li 0.764 0.666 0.064
Li8 Li 0.334 0.099 0.064
Li9 Li 0.901 0.236 0.064
Li10 Li 0.764 0.099 0.564
Li11 Li 0.901 0.666 0.564
Li12 Li 0.334 0.236 0.564
Li13 Li 0.236 0.334 0.936
Li14 Li 0.666 0.901 0.936
Li15 Li 0.099 0.764 0.936
Li16 Li 0.236 0.901 0.436
Li17 Li 0.099 0.334 0.436
Li18 Li 0.666 0.764 0.436
V1 V 0.433 0.000 0.250
V2 V 0.000 0.433 0.250
V3 V 0.567 0.567 0.250
V4 V 0.433 0.433 0.750
V5 V 0.567 0.000 0.750
V6 V 0.000 0.567 0.750
P1 P 0.667 0.333 0.125
P2 P 0.667 0.333 0.625
P3 P 0.333 0.667 0.875
P4 P 0.333 0.667 0.375
P5 P 0.089 0.773 0.155
P6 P 0.227 0.316 0.155
P7 P 0.684 0.911 0.155
P8 P 0.089 0.316 0.655
P9 P 0.684 0.773 0.655
P10 P 0.227 0.911 0.655
P11 P 0.911 0.227 0.845
P12 P 0.773 0.684 0.845
P13 P 0.316 0.089 0.845
P14 P 0.911 0.684 0.345
P15 P 0.316 0.227 0.345
P16 P 0.773 0.089 0.345
O1 O 0.667 0.333 0.014
O2 O 0.667 0.333 0.514
O3 O 0.333 0.667 0.986
O4 O 0.333 0.667 0.486
O5 O 0.000 0.787 0.250
O6 O 0.213 0.213 0.250
O7 O 0.787 0.000 0.250
O8 O 0.000 0.213 0.750
O9 O 0.787 0.787 0.750
O10 O 0.213 0.000 0.750
O11 O 0.675 0.487 0.165
O12 O 0.513 0.188 0.165
O13 O 0.812 0.325 0.165
O14 O 0.675 0.188 0.665
O15 O 0.812 0.487 0.665
O16 O 0.513 0.325 0.665
O17 O 0.325 0.513 0.835
O18 O 0.487 0.812 0.835
O19 O 0.188 0.675 0.835
O20 O 0.325 0.812 0.335
O21 O 0.188 0.513 0.335
O22 O 0.487 0.675 0.335
O23 O 0.108 0.627 0.166
O24 O 0.373 0.481 0.166
O25 O 0.519 0.892 0.166
O26 O 0.108 0.481 0.666
O27 O 0.519 0.627 0.666
O28 O 0.373 0.892 0.666
O29 O 0.892 0.373 0.834
O30 O 0.627 0.519 0.834
O31 O 0.481 0.108 0.834
O32 O 0.892 0.519 0.334
O33 O 0.481 0.373 0.334
O34 O 0.627 0.108 0.334
O35 O 0.252 0.923 0.154
O36 O 0.077 0.329 0.154
O37 O 0.671 0.748 0.154
O38 O 0.252 0.329 0.654
O39 O 0.671 0.923 0.654
O40 O 0.077 0.748 0.654
O41 O 0.748 0.077 0.846
O42 O 0.923 0.671 0.846
O43 O 0.329 0.252 0.846
O44 O 0.748 0.671 0.346
O45 O 0.329 0.077 0.346
O46 O 0.923 0.252 0.346
O47 O 0.995 0.771 0.065
O48 O 0.229 0.224 0.065
O49 O 0.776 0.005 0.065
O50 O 0.995 0.224 0.565
O51 O 0.776 0.771 0.565
O52 O 0.229 0.005 0.565
O53 O 0.005 0.229 0.935
O54 O 0.771 0.776 0.935
O55 O 0.224 0.995 0.935
O56 O 0.005 0.776 0.435
O57 O 0.224 0.229 0.435
O58 O 0.771 0.995 0.435
# DFT total energy ... -7.329 eV per atom
# Symmetry ... P-3c1, No. 165
# Raw formation energy ... -2.326 eV/atom


Entry 2:
# NaScTlRe2 (GGA-PBEsol, relaxed)
data_NaScTlRe2
_chemical_formula_sum 'Na1 Sc1 Tl1 Re2'
_cell_length_a 4.757
_cell_length_b 5.015
_cell_length_c 5.015
_cell_angle_alpha 90.00
_cell_angle_beta 90.00
_cell_angle_gamma 90.00
_symmetry_space_group_name_H-M 'P 1'
_symmetry_Int_Tables_number 1
loop_
_symmetry_equiv_pos_as_xyz
'x,y,z'
loop_
_atom_site_label
_atom_site_type_symbol
_atom_site_fract_x
_atom_site_fract_y
_atom_site_fract_z
Sc1 Sc 0.500 0.500 0.500
Re1 Re 0.000 0.000 0.500
Re2 Re 0.000 0.500 0.000
Tl1 Tl 0.000 0.000 0.000
Na1 Na 0.500 0.000 0.000
# ΔH_f (0 K) ... 2.075 eV per atom
# DFT total energy ... -5.385 eV per atom
# Symmetry ... P4/mmm, No. 123


Entry 3:
# Ca2CdPt (GGA-PBEsol, relaxed)
data_Ca2CdPt
_chemical_formula_sum 'Ca2 Cd1 Pt1'
_cell_length_a 4.948
_cell_length_b 4.948
_cell_length_c 4.948
_cell_angle_alpha 60.00
_cell_angle_beta 60.00
_cell_angle_gamma 60.00
_symmetry_space_group_name_H-M 'P 1'
_symmetry_Int_Tables_number 1
loop_
_symmetry_equiv_pos_as_xyz
'x,y,z'
loop_
_atom_site_label
_atom_site_type_symbol
_atom_site_fract_x
_atom_site_fract_y
_atom_site_fract_z
Ca1 Ca 0.000 0.000 0.000
Ca2 Ca 0.750 0.750 0.750
Pt1 Pt 0.250 0.250 0.250
Cd1 Cd 0.500 0.500 0.500
# ΔH_f (0 K) ... -0.398 eV per atom
# DFT total energy ... -3.504 eV per atom
# Symmetry ... F-43m, No. 216


Entry 4:
# LiTc2P (GGA-PBEsol, relaxed)
data_LiTc2P
_chemical_formula_sum 'Li2 Tc4 P2'
_cell_length_a 4.538
_cell_length_b 5.579
_cell_length_c 5.579
_cell_angle_alpha 80.48
_cell_angle_beta 66.00
_cell_angle_gamma 66.00
_symmetry_space_group_name_H-M 'P 1'
_symmetry_Int_Tables_number 1
loop_
_symmetry_equiv_pos_as_xyz
'x,y,z'
loop_
_atom_site_label
_atom_site_type_symbol
_atom_site_fract_x
_atom_site_fract_y
_atom_site_fract_z
P1 P 0.000 0.000 0.000
P2 P 0.750 0.500 0.500
Tc1 Tc 0.701 0.924 0.424
Tc2 Tc 0.049 0.076 0.576
Tc3 Tc 0.375 0.576 0.924
Tc4 Tc 0.875 0.424 0.076
Li1 Li 0.500 0.000 0.000
Li2 Li 0.250 0.500 0.500
# ΔH_f (0 K) ... 0.123 eV per atom
# DFT total energy ... -7.450 eV per atom
# Symmetry ... I-42d, No. 122


Entry 5:
# CaTc2Br (GGA-PBEsol, relaxed)
data_CaTc2Br
_chemical_formula_sum 'Ca1 Tc2 Br1'
_cell_length_a 2.956
_cell_length_b 2.956
_cell_length_c 9.134
_cell_angle_alpha 90.00
_cell_angle_beta 90.00
_cell_angle_gamma 116.62
_symmetry_space_group_name_H-M 'P 1'
_symmetry_Int_Tables_number 1
loop_
_symmetry_equiv_pos_as_xyz
'x,y,z'
loop_
_atom_site_label
_atom_site_type_symbol
_atom_site_fract_x
_atom_site_fract_y
_atom_site_fract_z
Ca1 Ca 0.500 0.500 0.000
Tc1 Tc 0.000 0.000 0.270
Tc2 Tc 0.000 0.000 0.730
Br1 Br 0.500 0.500 0.500
# Offset from the most stable computed form ... 77 meV per atom
# DFT total energy ... -5.576 eV per atom
# Symmetry ... Cmmm, No. 65
# Raw formation energy ... 1.058 eV/atom


Entry 6:
# TlNi2Ag (GGA-PBEsol, relaxed)
data_TlNi2Ag
_chemical_formula_sum 'Tl1 Ni2 Ag1'
_cell_length_a 3.189
_cell_length_b 3.189
_cell_length_c 5.729
_cell_angle_alpha 90.00
_cell_angle_beta 90.00
_cell_angle_gamma 90.01
_symmetry_space_group_name_H-M 'P 1'
_symmetry_Int_Tables_number 1
loop_
_symmetry_equiv_pos_as_xyz
'x,y,z'
loop_
_atom_site_label
_atom_site_type_symbol
_atom_site_fract_x
_atom_site_fract_y
_atom_site_fract_z
Ag1 Ag 0.500 0.500 0.500
Ni1 Ni 0.000 0.000 0.744
Ni2 Ni 0.000 0.000 0.256
Tl1 Tl 0.500 0.500 0.000
# ΔH_f (0 K) ... 0.245 eV per atom
# Offset from the most stable computed form ... 0 meV per atom
# DFT total energy ... -4.319 eV per atom
# Symmetry ... P4/mmm, No. 123


Entry 7:
# ZrTaSn2As (GGA-PBEsol, relaxed)
data_ZrTaSn2As
_chemical_formula_sum 'Zr1 Ta1 Sn2 As1'
_cell_length_a 4.782
_cell_length_b 5.262
_cell_length_c 5.262
_cell_angle_alpha 90.00
_cell_angle_beta 90.00
_cell_angle_gamma 90.00
_symmetry_space_group_name_H-M 'P 1'
_symmetry_Int_Tables_number 1
loop_
_symmetry_equiv_pos_as_xyz
'x,y,z'
loop_
_atom_site_label
_atom_site_type_symbol
_atom_site_fract_x
_atom_site_fract_y
_atom_site_fract_z
As1 As 0.500 0.000 0.000
Sn1 Sn 0.000 0.000 0.500
Sn2 Sn 0.000 0.500 0.000
Zr1 Zr 0.500 0.500 0.500
Ta1 Ta 0.000 0.000 0.000
# ΔH_f (0 K) ... 0.675 eV per atom
# DFT total energy ... -6.378 eV per atom
# Symmetry ... P4/mmm, No. 123


Entry 8:
# CaHgPb2 (GGA-PBEsol, relaxed)
data_CaHgPb2
_chemical_formula_sum 'Ca1 Hg1 Pb2'
_cell_length_a 4.604
_cell_length_b 4.604
_cell_length_c 6.062
_cell_angle_alpha 112.32
_cell_angle_beta 112.32
_cell_angle_gamma 90.00
_symmetry_space_group_name_H-M 'P 1'
_symmetry_Int_Tables_number 1
loop_
_symmetry_equiv_pos_as_xyz
'x,y,z'
loop_
_atom_site_label
_atom_site_type_symbol
_atom_site_fract_x
_atom_site_fract_y
_atom_site_fract_z
Pb1 Pb 0.750 0.250 0.500
Pb2 Pb 0.250 0.750 0.500
Ca1 Ca 0.500 0.500 0.000
Hg1 Hg 0.000 0.000 0.000
# ΔH_f (0 K) ... -0.334 eV per atom
# DFT total energy ... -3.009 eV per atom
# Symmetry ... I4/mmm, No. 139


Entry 9:
# KBaVO4 (GGA-PBEsol, relaxed)
data_KBaVO4
_chemical_formula_sum 'K4 Ba4 V4 O16'
_cell_length_a 5.858
_cell_length_b 7.748
_cell_length_c 10.367
_cell_angle_alpha 90.00
_cell_angle_beta 90.00
_cell_angle_gamma 90.00
_symmetry_space_group_name_H-M 'P 1'
_symmetry_Int_Tables_number 1
loop_
_symmetry_equiv_pos_as_xyz
'x,y,z'
loop_
_atom_site_label
_atom_site_type_symbol
_atom_site_fract_x
_atom_site_fract_y
_atom_site_fract_z
K1 K 0.750 0.661 0.076
K2 K 0.250 0.339 0.924
K3 K 0.750 0.161 0.424
K4 K 0.250 0.839 0.576
Ba1 Ba 0.750 0.993 0.806
Ba2 Ba 0.250 0.007 0.194
Ba3 Ba 0.750 0.493 0.694
Ba4 Ba 0.250 0.507 0.306
V1 V 0.750 0.230 0.082
V2 V 0.250 0.770 0.918
V3 V 0.750 0.730 0.418
V4 V 0.250 0.270 0.582
O1 O 0.009 0.701 0.840
O2 O 0.509 0.299 0.160
O3 O 0.491 0.201 0.660
O4 O 0.991 0.799 0.340
O5 O 0.991 0.299 0.160
O6 O 0.491 0.701 0.840
O7 O 0.509 0.799 0.340
O8 O 0.009 0.201 0.660
O9 O 0.750 0.308 0.926
O10 O 0.250 0.692 0.074
O11 O 0.750 0.808 0.574
O12 O 0.250 0.192 0.426
O13 O 0.250 0.490 0.576
O14 O 0.750 0.510 0.424
O15 O 0.250 0.990 0.924
O16 O 0.750 0.010 0.076
# DFT total energy ... -7.484 eV per atom
# Symmetry ... Pnma, No. 62
# Raw formation energy ... -2.639 eV/atom


Entry 10:
# CaSbAsSe2 (GGA-PBEsol, relaxed)
data_CaSbAsSe2
_chemical_formula_sum 'Ca1 Sb1 As1 Se2'
_cell_length_a 5.164
_cell_length_b 5.284
_cell_length_c 5.284
_cell_angle_alpha 90.00
_cell_angle_beta 90.00
_cell_angle_gamma 90.00
_symmetry_space_group_name_H-M 'P 1'
_symmetry_Int_Tables_number 1
loop_
_symmetry_equiv_pos_as_xyz
'x,y,z'
loop_
_atom_site_label
_atom_site_type_symbol
_atom_site_fract_x
_atom_site_fract_y
_atom_site_fract_z
Sb1 Sb 0.000 0.000 0.000
As1 As 0.500 0.000 0.000
Ca1 Ca 0.500 0.500 0.500
Se1 Se 0.000 0.000 0.500
Se2 Se 0.000 0.500 0.000
# DFT total energy ... -4.066 eV per atom
# Symmetry ... P4/mmm, No. 123
# Raw formation energy ... -0.166 eV/atom


The records above yield size of the total moment values of 0.122 0.485 0.001 0.000 0.000 0.000 0.207 0.000 0.000 0.000 μB per atom, respectively.
The records above yield mass density values of 2.76 8.95 7.52 6.59 7.35 12.25 7.33 10.03 4.11 4.55 Mg/m³, respectively.